[1]
Below is crystalline Hf8RhN6 at its relaxed geometry, with properties calculated at the GGA-PBE level.

Cell lengths 6.1083, 6.1083, 6.1083 Å; angles 92.35, 92.35, 92.35 degrees
With the nearest neighbours (Å) after each atom.
Positions (direct):
1 Hf 0.1094 0.3634 0.7832  3 N 2.10-2.21
2 Hf 0.2168 0.8906 0.6366  3 N 2.10-2.21
3 Hf 0.2466 0.2466 0.2466  3 N 2.16
4 Hf 0.3634 0.7832 0.1094  3 N 2.10-2.21
5 Hf 0.6366 0.2168 0.8906  3 N 2.10-2.21
6 Hf 0.7534 0.7534 0.7534  3 N 2.16
7 Hf 0.7832 0.1094 0.3634  3 N 2.10-2.21
8 Hf 0.8906 0.6366 0.2168  3 N 2.10-2.21
9 Rh 0.5000 0.5000 0.5000  2 Hf 2.57
10 N 0.0783 0.6925 0.8845  4 Hf 2.10-2.21
11 N 0.1155 0.9217 0.3075  4 Hf 2.10-2.21
12 N 0.3075 0.1155 0.9217  4 Hf 2.10-2.21
13 N 0.6925 0.8845 0.0783  4 Hf 2.10-2.21
14 N 0.8845 0.0783 0.6925  4 Hf 2.10-2.21
15 N 0.9217 0.3075 0.1155  4 Hf 2.10-2.21

Its uncorrected formation energy is -1.211 eV/atom. As for the theoretical density: 11796 kg/m3.

[2]
Below is crystalline PmCo5Si2 at its relaxed geometry, with properties calculated at the GGA-PBE level.

Cell lengths 5.8866, 5.8866, 5.8866 Å; angles 143.92, 113.02, 78.51 degrees
With the nearest neighbours (Å) after each atom.
Positions (direct):
1 Pm 0.0000 0.0000 0.0000  4 Si 2.98, 10 Co 3.03-3.25
2 Co 0.1701 0.3565 0.8136  3 Si 2.29-2.37, 3 Co 2.42-2.55
3 Co 0.4571 0.6435 0.8136  3 Si 2.29-2.37, 3 Co 2.42-2.55
4 Co 0.5000 0.0000 0.5000  2 Si 2.21
5 Co 0.5429 0.3565 0.1864  3 Si 2.29-2.37, 3 Co 2.42-2.55
6 Co 0.8299 0.6435 0.1864  3 Si 2.29-2.37, 3 Co 2.42-2.55
7 Si 0.2580 0.7580 0.5000  7 Co 2.21-2.37
8 Si 0.7420 0.2420 0.5000  7 Co 2.21-2.37

Its uncorrected formation energy is -0.388 eV/atom. As for the theoretical density: 7626 kg/m3.

[3]
Below is crystalline CsNb2FeTc at its relaxed geometry, with properties calculated at the GGA-PBE level.

Cell lengths 4.6675, 4.6675, 5.1971 Å; angles 90.00, 90.00, 90.00 degrees
With the nearest neighbours (Å) after each atom.
Positions (direct):
1 Cs 0.0000 0.0000 0.0000  2 Fe 2.60
2 Nb 0.0000 0.5000 0.5000  2 Fe 2.33
3 Nb 0.5000 0.0000 0.5000  2 Fe 2.33
4 Fe 0.0000 0.0000 0.5000  4 Nb 2.33, 2 Cs 2.60
5 Tc 0.5000 0.5000 0.0000  4 Cs 3.30, 8 Nb 3.49

For the formation energy, the calculation gives 184.7 kJ per mole of atoms. As for the theoretical density: 6931 kg/m3.

Number 1: total moment 0.00 Bohr magnetons per cell. Number 2: total moment 2.81 Bohr magnetons per cell. Number 3: total moment 1.35 Bohr magnetons per cell.